Compound: Nd12ErSc7
Source: the Alexandria database
Functional: PBE
Structure: relaxed

Crystal system: trigonal
Energy of formation (eV/atom): 0.151
Theoretical density (g/cm3): 5.9
M_tot (μB per atom): 0.00
Density of states at the Fermi level (states/eV/f.u.): 37.22

Lattice parameters (Å, degrees): 9.1968 9.1968 9.1968 108.12 108.12 108.12
Fractional coordinates of all 20 atoms:
Sc1 0.3145 0.0007 0.8982
Sc2 0.0007 0.8982 0.3145
Sc3 0.1018 0.6855 0.9993
Sc4 0.8982 0.3145 0.0007
Sc5 0.6855 0.9993 0.1018
Sc6 0.9993 0.1018 0.6855
Sc7 0.5000 0.5000 0.5000
Nd1 0.3251 0.6256 0.7938
Nd2 0.4086 0.0609 0.2947
Nd3 0.0609 0.2947 0.4086
Nd4 0.2947 0.4086 0.0609
Nd5 0.6256 0.7938 0.3251
Nd6 0.5914 0.9391 0.7053
Nd7 0.3744 0.2062 0.6749
Nd8 0.7938 0.3251 0.6256
Nd9 0.2062 0.6749 0.3744
Nd10 0.9391 0.7053 0.5914
Nd11 0.7053 0.5914 0.9391
Nd12 0.6749 0.3744 0.2062
Er1 0.0000 0.0000 0.0000

Compound: Nd8Er2Sc3
Source: the Alexandria database
Functional: PBE
Structure: relaxed

Crystal system: monoclinic
Energy of formation (eV/atom): 0.239
Theoretical density (g/cm3): 6.1
M_tot (μB per atom): 0.00
Density of states at the Fermi level (states/eV/f.u.): 18.39

Lattice parameters (Å, degrees): 6.6677 8.9478 8.7060 120.92 98.43 90.00
Fractional coordinates of all 13 atoms:
Sc1 0.0000 0.1609 0.0000
Sc2 0.0000 0.8391 0.0000
Sc3 0.5000 0.0000 0.0000
Er1 0.6988 0.8056 0.6113
Er2 0.3012 0.1944 0.3887
Nd1 0.4349 0.4287 0.2230
Nd2 0.4349 0.7943 0.2230
Nd3 0.5651 0.5713 0.7770
Nd4 0.5651 0.2057 0.7770
Nd5 0.9011 0.5912 0.1824
Nd6 0.1794 0.8101 0.6202
Nd7 0.8206 0.1899 0.3798
Nd8 0.0989 0.4088 0.8176

Compound: Nd2Er8Sc3
Source: the Alexandria database
Functional: PBE
Structure: relaxed

Crystal system: triclinic
Energy of formation (eV/atom): 0.047
Theoretical density (g/cm3): 7.6
M_tot (μB per atom): 0.00
Density of states at the Fermi level (states/eV/f.u.): 20.71

Lattice parameters (Å, degrees): 6.0368 6.0246 10.9789 79.49 90.03 99.51
Fractional coordinates of all 13 atoms:
Nd1 0.7693 0.6161 0.5393
Nd2 0.2307 0.3839 0.4607
Sc1 0.5387 0.2270 0.0730
Sc2 0.0000 0.0000 0.0000
Sc3 0.4613 0.7730 0.9270
Er1 0.8401 0.0755 0.7016
Er2 0.3076 0.8465 0.6227
Er3 0.6214 0.6931 0.2198
Er4 0.0821 0.4594 0.1469
Er5 0.3786 0.3069 0.7802
Er6 0.1599 0.9245 0.2984
Er7 0.9179 0.5406 0.8531
Er8 0.6924 0.1535 0.3773

Compound: Nd7ErSc4
Source: the Alexandria database
Functional: PBE
Structure: relaxed

Crystal system: triclinic
Energy of formation (eV/atom): 0.039
Theoretical density (g/cm3): 6.0
M_tot (μB per atom): 0.00
Density of states at the Fermi level (states/eV/f.u.): 16.44

Lattice parameters (Å, degrees): 7.1112 6.1704 11.2684 79.49 50.86 89.96
Fractional coordinates of all 12 atoms:
Nd1 0.9155 0.7117 0.3398
Nd2 0.3353 0.7769 0.6640
Nd3 0.0845 0.2883 0.6602
Nd4 0.2672 0.4967 0.9899
Nd5 0.5000 0.0000 0.0000
Nd6 0.6647 0.2231 0.3360
Nd7 0.7328 0.5033 0.0101
Er1 0.0000 0.0000 0.0000
Sc1 0.1573 0.2131 0.3417
Sc2 0.4045 0.7290 0.3364
Sc3 0.8427 0.7869 0.6583
Sc4 0.5955 0.2710 0.6636

Compound: Nd3Er4Sc
Source: the Alexandria database
Functional: PBE
Structure: relaxed

Crystal system: orthorhombic
Energy of formation (eV/atom): 0.135
Theoretical density (g/cm3): 7.4
M_tot (μB per atom): 0.00
Density of states at the Fermi level (states/eV/f.u.): 11.91

Lattice parameters (Å, degrees): 3.4770 11.5802 8.7841 131.18 101.42 90.00
Fractional coordinates of all 8 atoms:
Er1 0.3661 0.1079 0.7323
Er2 0.6338 0.3760 0.2675
Er3 0.3662 0.6240 0.7325
Er4 0.6339 0.8921 0.2677
Nd1 0.0000 0.5000 0.0000
Nd2 0.2401 0.2401 0.4801
Nd3 0.7599 0.7599 0.5199
Sc1 0.5000 0.0000 0.0000

Compound: NdEr5Sc
Source: the Alexandria database
Functional: PBE
Structure: relaxed

Crystal system: orthorhombic
Energy of formation (eV/atom): 0.994
Theoretical density (g/cm3): 6.2
M_tot (μB per atom): 0.00
Density of states at the Fermi level (states/eV/f.u.): 9.74

Lattice parameters (Å, degrees): 5.9865 8.0402 7.5830 122.02 113.25 90.00
Fractional coordinates of all 7 atoms:
Er1 0.6823 0.7517 0.5034
Er2 0.4359 0.8237 0.0000
Er3 0.1675 0.5000 0.0000
Er4 0.1789 0.2483 0.4966
Er5 0.4359 0.1763 0.0000
Nd1 0.6928 0.5000 0.0000
Sc1 0.9375 0.0000 0.0000

Compound: Nd3Er12Sc
Source: the Alexandria database
Functional: PBE
Structure: relaxed

Crystal system: tetragonal
Energy of formation (eV/atom): 0.030
Theoretical density (g/cm3): 8.3
M_tot (μB per atom): 0.00
Density of states at the Fermi level (states/eV/f.u.): 22.39

Lattice parameters (Å, degrees): 4.9883 4.9883 19.9278 90.00 90.00 90.00
Fractional coordinates of all 16 atoms:
Nd1 0.0000 0.0000 0.2477
Nd2 0.0000 0.0000 0.5000
Nd3 0.0000 0.0000 0.7523
Sc1 0.0000 0.0000 0.0000
Er1 0.5000 0.5000 0.7538
Er2 0.0000 0.5000 0.8804
Er3 0.5000 0.0000 0.3732
Er4 0.0000 0.5000 0.1196
Er5 0.5000 0.0000 0.1196
Er6 0.5000 0.0000 0.8804
Er7 0.0000 0.5000 0.6268
Er8 0.5000 0.0000 0.6268
Er9 0.0000 0.5000 0.3732
Er10 0.5000 0.5000 0.2462
Er11 0.5000 0.5000 0.0000
Er12 0.5000 0.5000 0.5000

Compound: Nd7Er3Sc
Source: the Alexandria database
Functional: PBE
Structure: relaxed

Crystal system: monoclinic
Energy of formation (eV/atom): 0.224
Theoretical density (g/cm3): 6.9
M_tot (μB per atom): 0.00
Density of states at the Fermi level (states/eV/f.u.): 13.72

Lattice parameters (Å, degrees): 5.8238 8.5362 8.5362 83.70 109.96 109.96
Fractional coordinates of all 11 atoms:
Nd1 0.6893 0.9757 0.4027
Nd2 0.6893 0.4027 0.9757
Nd3 0.3107 0.5973 0.0243
Nd4 0.3107 0.0243 0.5973
Nd5 0.0000 0.5000 0.5000
Nd6 0.7855 0.7865 0.7865
Nd7 0.2145 0.2135 0.2135
Er1 0.0000 0.2028 0.7972
Er2 0.0000 0.7972 0.2028
Er3 0.5000 0.0000 0.0000
Sc1 0.5000 0.5000 0.5000

Compound: NdEr3Sc
Source: the Alexandria database
Functional: PBE
Structure: relaxed

Crystal system: monoclinic
Energy of formation (eV/atom): 0.073
Theoretical density (g/cm3): 7.5
M_tot (μB per atom): 0.00
Density of states at the Fermi level (states/eV/f.u.): 7.20

Lattice parameters (Å, degrees): 6.4770 10.8903 10.8903 52.81 86.39 86.39
Fractional coordinates of all 20 atoms:
Sc1 0.6781 0.3520 0.2145
Sc2 0.8219 0.7855 0.6480
Sc3 0.3219 0.6480 0.7855
Sc4 0.1781 0.2145 0.3520
Er1 0.3994 0.4785 0.3693
Er2 0.5835 0.0892 0.5806
Er3 0.0965 0.9517 0.7495
Er4 0.4035 0.2505 0.0483
Er5 0.0835 0.5806 0.0892
Er6 0.4165 0.9108 0.4194
Er7 0.5965 0.7495 0.9517
Er8 0.9165 0.4194 0.9108
Er9 0.1006 0.6307 0.5215
Er10 0.8994 0.3693 0.4785
Er11 0.9035 0.0483 0.2505
Er12 0.6006 0.5215 0.6307
Nd1 0.2500 0.2476 0.7524
Nd2 0.2500 0.8940 0.1060
Nd3 0.7500 0.1060 0.8940
Nd4 0.7500 0.7524 0.2476

Compound: NdEr2Sc
Source: the Alexandria database
Functional: PBE
Structure: relaxed

Crystal system: orthorhombic
Energy of formation (eV/atom): 0.026
Theoretical density (g/cm3): 7.2
M_tot (μB per atom): 0.00
Density of states at the Fermi level (states/eV/f.u.): 6.53

Lattice parameters (Å, degrees): 3.5745 6.5926 6.5926 55.13 74.29 74.29
Fractional coordinates of all 4 atoms:
Er1 0.0074 0.0699 0.9148
Er2 0.4926 0.5852 0.4301
Sc1 0.7500 0.6681 0.8319
Nd1 0.2500 0.1767 0.3233

Compound: Nd2ErSc3
Source: the Alexandria database
Functional: PBE
Structure: relaxed

Crystal system: monoclinic
Energy of formation (eV/atom): 0.081
Theoretical density (g/cm3): 5.6
M_tot (μB per atom): 0.00
Density of states at the Fermi level (states/eV/f.u.): 10.72

Lattice parameters (Å, degrees): 5.3355 8.5395 9.6494 121.65 90.00 108.20
Fractional coordinates of all 12 atoms:
Sc1 0.2568 0.5137 0.5725
Sc2 0.6174 0.2347 0.5989
Sc3 0.9778 0.9556 0.6298
Sc4 0.3826 0.7653 0.4011
Sc5 0.0222 0.0444 0.3702
Sc6 0.7432 0.4863 0.4275
Er1 0.8689 0.7379 0.8535
Er2 0.1311 0.2621 0.1465
Nd1 0.5117 0.0234 0.8339
Nd2 0.2240 0.4479 0.8652
Nd3 0.4883 0.9766 0.1661
Nd4 0.7760 0.5521 0.1348

Compound: Nd4Er2Sc3
Source: the Alexandria database
Functional: PBE
Structure: relaxed

Crystal system: monoclinic
Energy of formation (eV/atom): 0.051
Theoretical density (g/cm3): 6.4
M_tot (μB per atom): 0.00
Density of states at the Fermi level (states/eV/f.u.): 13.25

Lattice parameters (Å, degrees): 5.0054 6.0133 10.4670 74.01 90.00 65.42
Fractional coordinates of all 9 atoms:
Sc1 0.3356 0.3288 0.4488
Sc2 0.0000 0.0000 0.0000
Sc3 0.6644 0.6712 0.5512
Nd1 0.6658 0.6685 0.8873
Nd2 0.0056 0.9887 0.3358
Nd3 0.9944 0.0113 0.6642
Nd4 0.3342 0.3315 0.1127
Er1 0.6704 0.6590 0.2284
Er2 0.3296 0.3410 0.7716